# BeTlGe2 PBE relaxed
# ρ   7.4 Mg/m³
# E above lowest polymorph   0.330 eV/atom
# Formation enthalpy at 0 K   2.77 eV/f.u.
# Total magnetization   0.000 Bohr magnetons per cell
data_BeTlGe2
_chemical_formula_sum 'Be4 Tl4 Ge8'
_cell_length_a 6.847
_cell_length_b 6.847
_cell_length_c 6.847
_cell_angle_alpha 90.00
_cell_angle_beta 90.00
_cell_angle_gamma 90.00
_symmetry_space_group_name_H-M 'F m -3 m'
_symmetry_Int_Tables_number 225
_symmetry_space_group_name_Hall '-F 4 2 3'
loop_
_atom_site_label
_atom_site_fract_x
_atom_site_fract_y
_atom_site_fract_z
_atom_site_occupancy
Be1 0.000 0.000 0.000 1
Tl1 0.000 0.000 0.500 1
Ge1 0.250 0.250 0.250 1

***

# Be3TlGe PBE relaxed
# ρ   5.9 Mg/m³
# E above lowest polymorph   0.000 eV/atom
# Formation enthalpy at 0 K   4.29 eV/f.u.
# Total magnetization   0.000 Bohr magnetons per cell
data_Be3TlGe
_chemical_formula_sum 'Be3 Tl1 Ge1'
_cell_length_a 4.409
_cell_length_b 4.409
_cell_length_c 4.409
_cell_angle_alpha 90.00
_cell_angle_beta 90.00
_cell_angle_gamma 90.00
_symmetry_space_group_name_H-M 'P m -3 m'
_symmetry_Int_Tables_number 221
_symmetry_space_group_name_Hall '-P 4 2 3'
loop_
_atom_site_label
_atom_site_fract_x
_atom_site_fract_y
_atom_site_fract_z
_atom_site_occupancy
Be1 0.000 0.000 0.500 1
Tl1 0.500 0.500 0.500 1
Ge1 0.000 0.000 0.000 1

***

Q: Number 2 is which compound?
A: Be3TlGe

***

Q: The highest ρ belongs to which entry?
A: BeTlGe2